Entry 1:
# PBE LiZrHgPd, optimized geometry
# Crystal system: cubic
# Energy of formation: -350.1 meV per atom
# Volume: 18.4 Å³/atom
data_LiZrHgPd
_chemical_formula_sum 'Li4 Zr4 Hg4 Pd4'
_space_group_name_H-M_alt 'F -4 3 m'
_space_group_IT_number 216
_space_group_name_Hall 'F -4 2 3'
_cell_length_a 6.6515
_cell_length_b 6.6515
_cell_length_c 6.6515
_cell_angle_alpha 90.00
_cell_angle_beta 90.00
_cell_angle_gamma 90.00
loop_
_atom_site_label
_atom_site_type_symbol
_atom_site_fract_x
_atom_site_fract_y
_atom_site_fract_z
Li1 Li 0.0000 0.0000 0.0000
Zr1 Zr 0.0000 0.0000 0.5000
Hg1 Hg 0.2500 0.2500 0.7500
Pd1 Pd 0.2500 0.2500 0.2500



Entry 2:
# PBE Li2PmHg2, optimized geometry
# Crystal system: tetragonal
# Energy of formation: -350.9 meV per atom
# Volume: 22.8 Å³/atom
data_Li2PmHg2
_chemical_formula_sum 'Li4 Pm2 Hg4'
_space_group_name_H-M_alt 'I 4/m m m'
_space_group_IT_number 139
_space_group_name_Hall '-I 4 2'
_cell_length_a 4.0513
_cell_length_b 4.0513
_cell_length_c 13.8947
_cell_angle_alpha 90.00
_cell_angle_beta 90.00
_cell_angle_gamma 90.00
loop_
_atom_site_label
_atom_site_type_symbol
_atom_site_fract_x
_atom_site_fract_y
_atom_site_fract_z
Li1 Li 0.0000 0.5000 0.2500
Pm1 Pm 0.0000 0.0000 0.0000
Hg1 Hg 0.0000 0.0000 0.3874



Entry 3:
# PBE LiPmHg, optimized geometry
# Crystal system: orthorhombic
# Energy of formation: -292.7 meV per atom
# Energy above the lowest structure with this stoichiometry: 0.0575 eV per atom
# Volume: 25.7 Å³/atom
data_LiPmHg
_chemical_formula_sum 'Li4 Pm4 Hg4'
_space_group_name_H-M_alt 'C m c m'
_space_group_IT_number 63
_space_group_name_Hall '-C 2c 2'
_cell_length_a 5.6096
_cell_length_b 8.7766
_cell_length_c 6.2655
_cell_angle_alpha 90.00
_cell_angle_beta 90.00
_cell_angle_gamma 90.00
loop_
_atom_site_label
_atom_site_type_symbol
_atom_site_fract_x
_atom_site_fract_y
_atom_site_fract_z
Li1 Li 0.0000 0.0000 0.0000
Pm1 Pm 0.0000 0.3493 0.2500
Hg1 Hg 0.0000 0.2951 0.7500



Entry 4:
# PBE LiPmHg4, optimized geometry
# Crystal system: monoclinic
# Energy of formation: -330.3 meV per atom
# Energy above the lowest structure with this stoichiometry: 0.0000 eV per atom
# Volume: 23.7 Å³/atom
data_LiPmHg4
_chemical_formula_sum 'Li2 Pm2 Hg8'
_space_group_name_H-M_alt 'C 1 2/m 1'
_space_group_IT_number 12
_cell_length_a 10.1618
_cell_length_b 3.9873
_cell_length_c 7.4791
_cell_angle_alpha 90.00
_cell_angle_beta 109.89
_cell_angle_gamma 90.00
loop_
_space_group_symop_operation_xyz
'x,y,z'
'-x,-y,-z'
'-x,y,-z'
'x,-y,z'
'x+1/2,y+1/2,z'
'-x+1/2,-y+1/2,-z'
'-x+1/2,y+1/2,-z'
'x+1/2,-y+1/2,z'
loop_
_atom_site_label
_atom_site_type_symbol
_atom_site_fract_x
_atom_site_fract_y
_atom_site_fract_z
Li1 Li 0.0000 0.0000 0.0000
Pm1 Pm 0.0000 0.0000 0.5000
Hg1 Hg 0.1637 0.5000 0.3080
Hg2 Hg 0.1636 0.5000 0.8507



Entry 5:
# PBE Li2Pm3Hg4, optimized geometry
# Crystal system: monoclinic
# Energy of formation: -388.0 meV per atom
# Energy above the lowest structure with this stoichiometry: 0.0078 eV per atom
# Volume: 24.3 Å³/atom
data_Li2Pm3Hg4
_chemical_formula_sum 'Li4 Pm6 Hg8'
_space_group_name_H-M_alt 'C 1 2/m 1'
_space_group_IT_number 12
_cell_length_a 11.0495
_cell_length_b 4.9501
_cell_length_c 9.2479
_cell_angle_alpha 90.00
_cell_angle_beta 120.30
_cell_angle_gamma 90.00
loop_
_space_group_symop_operation_xyz
'x,y,z'
'-x,-y,-z'
'-x,y,-z'
'x,-y,z'
'x+1/2,y+1/2,z'
'-x+1/2,-y+1/2,-z'
'-x+1/2,y+1/2,-z'
'x+1/2,-y+1/2,z'
loop_
_atom_site_label
_atom_site_type_symbol
_atom_site_fract_x
_atom_site_fract_y
_atom_site_fract_z
Li1 Li 0.1256 0.0000 0.2952
Pm1 Pm 0.0000 0.5000 0.0000
Pm2 Pm 0.1602 0.0000 0.6738
Hg1 Hg 0.0739 0.5000 0.3942
Hg2 Hg 0.2104 0.0000 0.0619



Entry 6:
# PBE LiPmHg, optimized geometry
# Crystal system: hexagonal
# Energy of formation: -313.0 meV per atom
# Energy above the lowest structure with this stoichiometry: 0.0372 eV per atom
# Volume: 23.9 Å³/atom
data_LiPmHg
_chemical_formula_sum 'Li1 Pm1 Hg1'
_space_group_name_H-M_alt 'P -6 m 2'
_space_group_IT_number 187
_space_group_name_Hall 'P -6 2'
_cell_length_a 4.9181
_cell_length_b 4.9181
_cell_length_c 3.4167
_cell_angle_alpha 90.00
_cell_angle_beta 90.00
_cell_angle_gamma 120.00
loop_
_atom_site_label
_atom_site_type_symbol
_atom_site_fract_x
_atom_site_fract_y
_atom_site_fract_z
Li1 Li 0.0000 0.0000 0.0000
Pm1 Pm 0.3333 0.6667 0.5000
Hg1 Hg 0.6667 0.3333 0.0000



Entry 7:
# PBE Li6Pm2Hg3, optimized geometry
# Crystal system: hexagonal
# Energy of formation: -226.3 meV per atom
# Volume: 22.6 Å³/atom
data_Li6Pm2Hg3
_chemical_formula_sum 'Li6 Pm2 Hg3'
_space_group_name_H-M_alt 'P -6 2 m'
_space_group_IT_number 189
_space_group_name_Hall 'P -6 -2'
_cell_length_a 8.4230
_cell_length_b 8.4230
_cell_length_c 4.0497
_cell_angle_alpha 90.00
_cell_angle_beta 90.00
_cell_angle_gamma 120.00
loop_
_atom_site_label
_atom_site_type_symbol
_atom_site_fract_x
_atom_site_fract_y
_atom_site_fract_z
Li1 Li 0.0000 0.1965 0.0000
Li2 Li 0.0000 0.7296 0.5000
Pm1 Pm 0.3333 0.6667 0.0000
Hg1 Hg 0.0000 0.4063 0.5000



Entry 8:
# PBE LiPm6Hg5, optimized geometry
# Crystal system: orthorhombic
# Energy of formation: -400.1 meV per atom
# Volume: 27.5 Å³/atom
data_LiPm6Hg5
_chemical_formula_sum 'Li2 Pm12 Hg10'
_space_group_name_H-M_alt 'I m m m'
_space_group_IT_number 71
_space_group_name_Hall '-I 2 2'
_cell_length_a 5.3667
_cell_length_b 7.6026
_cell_length_c 16.1797
_cell_angle_alpha 90.00
_cell_angle_beta 90.00
_cell_angle_gamma 90.00
loop_
_atom_site_label
_atom_site_type_symbol
_atom_site_fract_x
_atom_site_fract_y
_atom_site_fract_z
Li1 Li 0.0000 0.0000 0.0000
Pm1 Pm 0.0000 0.2450 0.5000
Pm2 Pm 0.0000 0.2510 0.1689
Hg1 Hg 0.0000 0.0000 0.3337
Hg2 Hg 0.0000 0.5000 0.0000
Hg3 Hg 0.0000 0.5000 0.3441